{"formula": "NaWSeO6", "functional": "PBE+U", "state": "optimized geometry", "lattice": [[5.204, 0.000, 0.000], [-2.602, 4.506, 0.000], [0.000, 0.000, 10.496]], "species": ["Na", "Na", "W", "W", "Se", "Se", "O", "O", "O", "O", "O", "O", "O", "O", "O", "O", "O", "O"], "frac_coords": [[0.000, 0.000, 0.000], [0.000, 0.000, 0.500], [0.333, 0.667, 0.250], [0.667, 0.333, 0.750], [0.333, 0.667, 0.750], [0.667, 0.333, 0.250], [0.005, 0.389, 0.646], [0.005, 0.616, 0.854], [0.384, 0.389, 0.854], [0.384, 0.995, 0.646], [0.389, 0.005, 0.146], [0.389, 0.384, 0.354], [0.611, 0.616, 0.646], [0.611, 0.995, 0.854], [0.616, 0.005, 0.354], [0.616, 0.611, 0.146], [0.995, 0.384, 0.146], [0.995, 0.611, 0.354]], "total_magnetization_mub_per_cell": 0.00, "e_tot_ev_per_fu": -53.940}